[1]
A plane-wave DFT calculation with PBE-GGA was carried out for a relaxed InRuPb crystal.

Unit cell a=6.5493 b=5.8507 c=9.3436 alpha=90.00 beta=133.84 gamma=90.00
With the nearest neighbours (Å) after each atom.
Positions (direct):
In  0.8576  0.0000  0.6887  4 Ru 2.84
In  0.1424  0.0000  0.3113  4 Ru 2.84
In  0.8576  0.5000  0.1887  4 Ru 2.84
In  0.1424  0.5000  0.8113  4 Ru 2.84
Ru  0.0000  0.2707  0.0000  1 Ru 2.68, 4 In 2.84, 4 Pb 2.88-2.91
Ru  0.0000  0.7293  0.0000  1 Ru 2.68, 4 In 2.84, 4 Pb 2.88-2.91
Ru  0.0000  0.7707  0.5000  1 Ru 2.68, 4 In 2.84, 4 Pb 2.88-2.91
Ru  0.0000  0.2293  0.5000  1 Ru 2.68, 4 In 2.84, 4 Pb 2.88-2.91
Pb  0.4846  0.0000  0.1583  4 Ru 2.88-2.91, 1 Pb 3.10
Pb  0.5154  0.0000  0.8417  4 Ru 2.88-2.91, 1 Pb 3.10
Pb  0.4846  0.5000  0.6583  4 Ru 2.88-2.91, 1 Pb 3.10
Pb  0.5154  0.5000  0.3417  4 Ru 2.88-2.91, 1 Pb 3.10

DFT formation energy ... 0.138 eV/atom
DFT total energy ... -61.2 eV per cell
Mass density ... 10.9 g/cm³
N(E_F) ... 1.90 states/eV/f.u.
Relative energy among the computed polymorphs ... 0.009 eV per atom

=====

[2]
A plane-wave DFT calculation with PBE-GGA was carried out for a relaxed Dy4BiSb3 crystal.

Unit cell a=6.2260 b=6.2260 c=6.2260 alpha=90.00 beta=90.00 gamma=90.00
With the nearest neighbours (Å) after each atom.
Positions (direct):
Dy  0.5000  0.0000  0.0000  2 Bi 3.11, 4 Sb 3.11
Dy  0.0000  0.5000  0.0000  2 Bi 3.11, 4 Sb 3.11
Dy  0.0000  0.0000  0.5000  2 Bi 3.11, 4 Sb 3.11
Dy  0.5000  0.5000  0.5000  6 Sb 3.11
Bi  0.0000  0.0000  0.0000  6 Dy 3.11
Sb  0.0000  0.5000  0.5000  6 Dy 3.11
Sb  0.5000  0.0000  0.5000  6 Dy 3.11
Sb  0.5000  0.5000  0.0000  6 Dy 3.11

DFT total energy ... -43.2 eV per cell
Mass density ... 8.4 g/cm³
N(E_F) ... 0.48 states/eV/f.u.

=====

[3]
A plane-wave DFT calculation with PBE-GGA was carried out for a relaxed Ca4AgAu crystal.

Unit cell a=6.4839 b=6.4839 c=6.4839 alpha=60.00 beta=60.00 gamma=60.00
With the nearest neighbours (Å) after each atom.
Positions (direct):
Ca  0.8756  0.3748  0.3748  6 Ca 3.24-3.25
Ca  0.3748  0.3748  0.8756  6 Ca 3.24-3.25
Ca  0.3748  0.8756  0.3748  6 Ca 3.24-3.25
Ca  0.3748  0.3748  0.3748  6 Ca 3.24-3.25
Ag  0.7500  0.7500  0.7500  12 Ca 3.80, 4 Au 3.97
Au  0.0000  0.0000  0.0000  12 Ca 3.80, 4 Ag 3.97

DFT formation energy ... 0.369 eV/atom
DFT total energy ... -11.9 eV per cell
Mass density ... 4.0 g/cm³
N(E_F) ... 7.60 states/eV/f.u.
Relative energy among the computed polymorphs ... 0.762 eV per atom

=====

[4]
A plane-wave DFT calculation with PBE-GGA was carried out for a relaxed La2Ga2Ge4Ru crystal.

Unit cell a=6.3566 b=6.3566 c=6.3566 alpha=90.71 beta=119.59 gamma=119.59
With the nearest neighbours (Å) after each atom.
Positions (direct):
La  0.5000  0.7500  0.2500  8 Ge 3.19, 4 Ga 3.21
La  0.5000  0.2500  0.7500  8 Ge 3.19, 4 Ga 3.21
Ga  0.0000  0.7138  0.7138  1 Ru 2.56, 4 Ge 2.76
Ga  0.0000  0.2862  0.2862  1 Ru 2.56, 4 Ge 2.76
Ge  0.0000  0.7201  0.2799  1 Ru 2.53, 2 Ga 2.76, 2 Ge 2.82
Ge  0.4401  0.7201  0.7201  1 Ru 2.53, 2 Ga 2.76, 2 Ge 2.82
Ge  0.0000  0.2799  0.7201  1 Ru 2.53, 2 Ga 2.76, 2 Ge 2.82
Ge  0.5599  0.2799  0.2799  1 Ru 2.53, 2 Ga 2.76, 2 Ge 2.82
Ru  0.0000  0.0000  0.0000  4 Ge 2.53, 2 Ga 2.56

DFT formation energy ... -0.565 eV/atom
DFT total energy ... -48.7 eV per cell
Mass density ... 7.4 g/cm³
N(E_F) ... 2.98 states/eV/f.u.

=====

[5]
A plane-wave DFT calculation with PBE-GGA was carried out for a relaxed FeTe2IN crystal.

Unit cell a=5.9481 b=5.9481 c=3.8914 alpha=90.00 beta=90.00 gamma=90.00
With the nearest neighbours (Å) after each atom.
Positions (direct):
I  0.0000  0.0000  0.0000  2 N 1.95
Te  0.0000  0.5000  0.0000  2 I 2.97
Te  0.5000  0.0000  0.0000  2 I 2.97
Fe  0.5000  0.5000  0.5000  8 Te 3.55, 2 Fe 3.89
N  0.0000  0.0000  0.5000  2 I 1.95

DFT total energy ... -16.6 eV per cell
Mass density ... 5.5 g/cm³
N(E_F) ... 7.55 states/eV/f.u.
Relative energy among the computed polymorphs ... 1.201 eV per atom

=====

[6]
A plane-wave DFT calculation with PBE-GGA was carried out for a relaxed LiDy2ErAu4 crystal.

Unit cell a=4.9771 b=4.9771 c=8.6543 alpha=73.29 beta=73.29 gamma=60.00
With the nearest neighbours (Å) after each atom.
Positions (direct):
Li  0.5000  0.5000  0.5000  8 Au 3.08-3.18, 6 Dy 3.44
Dy  0.7560  0.7560  0.7321  8 Au 2.98-3.15
Dy  0.2440  0.2440  0.2679  8 Au 2.98-3.15
Er  0.0000  0.0000  0.0000  8 Au 2.98-3.01
Au  0.3703  0.3703  0.8890  3 Er 3.01, 4 Dy 3.09-3.15, 1 Li 3.18
Au  0.8782  0.8782  0.3653  4 Dy 2.98-2.99, 1 Er 2.98, 3 Li 3.08
Au  0.1218  0.1218  0.6347  4 Dy 2.98-2.99, 1 Er 2.98, 3 Li 3.08
Au  0.6297  0.6297  0.1110  3 Er 3.01, 4 Dy 3.09-3.15, 1 Li 3.18

DFT formation energy ... -0.793 eV/atom
DFT total energy ... -35.1 eV per cell
Mass density ... 12.2 g/cm³
N(E_F) ... 4.53 states/eV/f.u.

=====

[7]
A plane-wave DFT calculation with PBE-GGA was carried out for a relaxed AcTlSbO crystal.

Unit cell a=3.5257 b=3.5257 c=9.8576 alpha=100.30 beta=100.30 gamma=90.00
With the nearest neighbours (Å) after each atom.
Positions (direct):
Ac  0.9090  0.9090  0.8181  4 O 2.57
Tl  0.1717  0.1717  0.3434  4 Sb 3.35, 4 Tl 3.53
Sb  0.5545  0.5545  0.1090  4 Tl 3.35, 1 O 3.39, 4 Sb 3.53, 4 Ac 3.73
O  0.3769  0.3769  0.7538  4 Ac 2.57

DFT total energy ... -20.8 eV per cell
Mass density ... 8.0 g/cm³
N(E_F) ... 0.57 states/eV/f.u.

=====

[8]
A plane-wave DFT calculation with PBE-GGA was carried out for a relaxed LiH2PdI crystal.

Unit cell a=3.8265 b=6.7527 c=3.8265 alpha=90.00 beta=90.00 gamma=90.00
With the nearest neighbours (Å) after each atom.
Positions (direct):
I  0.0000  0.0000  0.0000  4 H 1.91
H  0.0000  0.0000  0.5000  2 I 1.91
H  0.5000  0.0000  0.0000  2 I 1.91
Pd  0.5000  0.5000  0.5000  4 Li 2.71
Li  0.0000  0.5000  0.0000  4 Pd 2.71

DFT total energy ... -12.3 eV per cell
Mass density ... 4.1 g/cm³
N(E_F) ... 2.36 states/eV/f.u.

=====

[9]
A plane-wave DFT calculation with PBE-GGA was carried out for a relaxed LiAcInPb crystal.

Unit cell a=5.5388 b=5.5388 c=5.5388 alpha=60.00 beta=60.00 gamma=60.00
With the nearest neighbours (Å) after each atom.
Positions (direct):
Pb  0.7500  0.7500  0.7500  4 Ac 3.39, 4 Li 3.39
Ac  0.5000  0.5000  0.5000  4 In 3.39, 4 Pb 3.39
Li  0.0000  0.0000  0.0000  4 Pb 3.39, 4 In 3.39
In  0.2500  0.2500  0.2500  4 Ac 3.39, 4 Li 3.39

DFT formation energy ... -0.322 eV/atom
DFT total energy ... -13.8 eV per cell
Mass density ... 7.7 g/cm³
N(E_F) ... 3.27 states/eV/f.u.
Relative energy among the computed polymorphs ... 0.099 eV per atom

=====

[10]
A plane-wave DFT calculation with PBE-GGA was carried out for a relaxed Pr5Ag4Au crystal.

Unit cell a=3.7482 b=3.7482 c=19.1460 alpha=90.00 beta=90.00 gamma=90.00
With the nearest neighbours (Å) after each atom.
Positions (direct):
Pr  0.5000  0.5000  0.0965  4 Au 3.23, 4 Ag 3.31
Pr  0.5000  0.5000  0.2986  8 Ag 3.26-3.28
Pr  0.5000  0.5000  0.5000  8 Ag 3.28
Pr  0.5000  0.5000  0.7014  8 Ag 3.26-3.28
Pr  0.5000  0.5000  0.9035  4 Au 3.23, 4 Ag 3.31
Ag  0.0000  0.0000  0.1998  8 Pr 3.26-3.31
Ag  0.0000  0.0000  0.3993  8 Pr 3.28
Ag  0.0000  0.0000  0.6007  8 Pr 3.28
Ag  0.0000  0.0000  0.8002  8 Pr 3.26-3.31
Au  0.0000  0.0000  0.0000  8 Pr 3.23

DFT formation energy ... -0.348 eV/atom
DFT total energy ... -42.1 eV per cell
Mass density ... 8.2 g/cm³
N(E_F) ... 8.86 states/eV/f.u.

=====

Copy entry 8 word for word.
A plane-wave DFT calculation with PBE-GGA was carried out for a relaxed LiH2PdI crystal.

Unit cell a=3.8265 b=6.7527 c=3.8265 alpha=90.00 beta=90.00 gamma=90.00
With the nearest neighbours (Å) after each atom.
Positions (direct):
I  0.0000  0.0000  0.0000  4 H 1.91
H  0.0000  0.0000  0.5000  2 I 1.91
H  0.5000  0.0000  0.0000  2 I 1.91
Pd  0.5000  0.5000  0.5000  4 Li 2.71
Li  0.0000  0.5000  0.0000  4 Pd 2.71

DFT total energy ... -12.3 eV per cell
Mass density ... 4.1 g/cm³
N(E_F) ... 2.36 states/eV/f.u.